# CdCoSeO

Crystalline CdCoSeO at its relaxed geometry (GGA+U, the Open Quantum Materials Database).

- energy relative to the lowest polymorph listed for this composition (meV per atom) = 46
- SG = No. 29

a = 6.075 Å, b = 8.083 Å, c = 5.598 Å
α = 90.00°, β = 90.00°, γ = 90.00°
Fractional coordinates of all 16 atoms:
O: 0.387 0.933 0.821
Cd: 0.904 0.340 0.916
O: 0.113 0.933 0.321
Cd: 0.404 0.660 0.916
Se: 0.558 0.673 0.387
Se: 0.442 0.327 0.887
Co: 0.845 0.954 0.126
Co: 0.655 0.954 0.626
Cd: 0.596 0.340 0.416
O: 0.613 0.067 0.321
Co: 0.345 0.046 0.126
O: 0.887 0.067 0.821
Se: 0.058 0.327 0.387
Co: 0.155 0.046 0.626
Cd: 0.096 0.660 0.416
Se: 0.942 0.673 0.887